SrAcZnSi: relaxed, GGA-PBE.

a = 4.3372 Å, b = 4.5804 Å, c = 12.0354 Å
α = 90.00°, β = 90.00°, γ = 90.00°
Closest atoms and distances in Å follow each position.
Space group Amm2 (No. 38)
Asymmetric unit:
Sr  0.0000  0.0000  0.0000 x2  4 Zn 3.29, 3 Si 3.38-3.53
Ac  0.5000  0.0000  0.7217 x2  4 Si 3.27, 3 Zn 3.33-3.60
Zn  0.5000  0.0000  0.4224 x2  2 Si 2.67
Si  0.0000  0.0000  0.2937 x2  2 Zn 2.67

Computed properties:
DOS at the Fermi energy = 3.279 states/eV/f.u.
ΔE_f (raw) = -0.38 eV/atom
Mass density = 5.7 Mg/m³
Calculated volume = 239.1 Å³ per cell
E above lowest polymorph = 0.0000 eV per atom